Crystalline As2HIrPd at its relaxed geometry. Source: the Alexandria database, functional PBE.

The calculation puts the total moment at 1.89 Bohr magnetons per cell. As for the total energy: -3.73 eV per atom.

The space group is P4/mmm (No. 123) and the conventional cell measures 4.712, 4.712 and 5.103 Å, with angles of 90.00, 90.00 and 90.00 degrees. The asymmetric unit holds As at (0.000, 0.500, 0.000), H at (0.000, 0.000, 0.500), Ir at (0.500, 0.500, 0.500) and Pd at (0.500, 0.500, 0.000).